Entry 1:
Pr8Te4PbSe3 | Alexandria via LeMat-Bulk | GGA-PBE | relaxed; formation energy from raw total energies = -1.507 eV/atom; crystal system = monoclinic; symmetry = C2/m
1.0
-5.401 3.713 -5.932
-6.311 -6.067 1.949
3.482 4.898 6.483
Pr Te Pb Se
8 4 1 3
direct
0.248 0.730 0.982
0.248 0.728 0.496
0.261 0.281 0.522
0.733 0.730 0.982
0.267 0.270 0.018
0.739 0.719 0.478
0.752 0.272 0.504
0.752 0.270 0.018
0.500 0.000 0.000
0.500 0.000 0.500
0.000 0.000 0.000
0.000 0.000 0.500
0.000 0.500 0.000
0.500 0.500 0.000
0.500 0.500 0.500
0.000 0.500 0.500


Entry 2:
Pr6Te3Pb2Se | Alexandria via LeMat-Bulk | GGA-PBE | relaxed; formation energy from raw total energies = -1.243 eV/atom; crystal system = monoclinic; symmetry = C2/m
1.0
4.527 0.000 0.000
0.000 9.063 0.292
-2.264 -2.647 9.516
Pr Te Pb Se
6 3 2 1
direct
0.339 0.917 0.679
0.667 0.579 0.335
0.661 0.083 0.321
0.001 0.235 0.002
0.999 0.765 0.998
0.333 0.421 0.665
0.500 0.500 0.000
0.832 0.166 0.664
0.168 0.834 0.336
0.834 0.669 0.669
0.166 0.331 0.331
0.500 0.000 0.000


Entry 3:
Pr4TePbSe2 | Alexandria via LeMat-Bulk | GGA-PBE | relaxed; formation energy from raw total energies = -1.435 eV/atom; crystal system = monoclinic; symmetry = P2/m
1.0
-1.306 3.990 -1.397
-4.030 0.939 6.450
4.429 3.313 5.321
Pr Te Pb Se
4 1 1 2
direct
0.000 0.765 0.747
0.000 0.235 0.253
0.500 0.769 0.239
0.500 0.231 0.761
0.000 0.500 0.500
0.500 0.500 0.000
0.000 0.000 0.000
0.500 0.000 0.500


Entry 4:
Pr6TePb3Se2 | Alexandria via LeMat-Bulk | GGA-PBE | relaxed; formation energy from raw total energies = -1.129 eV/atom; crystal system = monoclinic; symmetry = C2/m
1.0
-0.912 -2.681 3.487
7.929 2.142 3.720
-5.686 8.091 1.841
Pr Te Pb Se
6 1 3 2
direct
0.331 0.909 0.662
0.670 0.577 0.339
0.669 0.091 0.338
0.005 0.255 0.010
0.995 0.745 0.990
0.330 0.423 0.661
0.500 0.000 0.000
0.500 0.500 0.000
0.836 0.169 0.672
0.164 0.831 0.328
0.832 0.666 0.664
0.168 0.334 0.336


Entry 5:
Pr6Te2PbSe3 | Alexandria via LeMat-Bulk | GGA-PBE | relaxed; formation energy from raw total energies = -1.509 eV/atom; crystal system = monoclinic; symmetry = C2/m
1.0
-1.287 4.137 -0.720
-3.363 -2.415 -7.859
-6.724 -3.297 6.471
Pr Te Pb Se
6 2 1 3
direct
0.331 0.933 0.661
0.659 0.599 0.318
0.669 0.067 0.339
0.996 0.258 0.992
0.004 0.742 0.008
0.341 0.401 0.682
0.831 0.663 0.663
0.169 0.337 0.337
0.500 0.000 0.000
0.500 0.500 0.000
0.833 0.167 0.665
0.167 0.833 0.335


Entry 6:
Pr6TlPb2Se3 | Alexandria via LeMat-Bulk | GGA-PBE | relaxed; formation energy from raw total energies = -1.149 eV/atom; crystal system = monoclinic; symmetry = C2/m
1.0
-2.638 1.730 -3.062
4.081 -4.950 -6.312
-6.261 -6.057 5.128
Pr Tl Pb Se
6 1 2 3
direct
0.328 0.931 0.656
0.664 0.586 0.328
0.672 0.069 0.344
0.993 0.264 0.985
0.007 0.736 0.015
0.336 0.414 0.672
0.500 0.000 0.000
0.837 0.677 0.675
0.163 0.323 0.325
0.500 0.500 0.000
0.832 0.171 0.663
0.168 0.829 0.337


Entry 7:
PrTlPb2Se4 | Alexandria via LeMat-Bulk | GGA-PBE | relaxed; formation energy from raw total energies = -0.917 eV/atom; crystal system = monoclinic; symmetry = P2/m
1.0
-3.758 -2.098 0.911
1.681 -5.257 -5.173
3.981 -5.643 3.421
Pr Tl Pb Se
1 1 2 4
direct
0.000 0.500 0.500
0.500 0.500 0.000
0.000 0.000 0.000
0.500 0.000 0.500
0.000 0.753 0.731
0.000 0.247 0.269
0.500 0.743 0.266
0.500 0.257 0.734


Entry 8:
Pr2Tl3PbSe6 | Alexandria via LeMat-Bulk | GGA-PBE | relaxed; formation energy from raw total energies = -1.031 eV/atom; crystal system = monoclinic; symmetry = C2/m
1.0
-2.630 6.980 1.456
-3.166 -6.036 3.360
6.743 0.322 4.099
Pr Tl Pb Se
2 3 1 6
direct
0.333 0.667 0.000
0.667 0.333 0.000
0.166 0.834 0.500
0.834 0.166 0.500
0.500 0.500 0.500
0.000 0.000 0.000
0.926 0.581 0.777
0.729 0.729 0.221
0.074 0.419 0.223
0.581 0.926 0.777
0.271 0.271 0.779
0.419 0.074 0.223


Entry 9:
PrYPbSe | Alexandria via LeMat-Bulk | GGA-PBE | relaxed; formation energy from raw total energies = -1.177 eV/atom; crystal system = tetragonal; symmetry = P4/mmm
1.0
-0.257 0.305 4.339
-3.206 -2.951 0.017
4.215 -4.575 0.572
Pr Y Pb Se
1 1 1 1
direct
0.500 0.392 0.593
0.000 0.891 0.092
0.500 0.391 0.093
0.000 0.892 0.592


Entry 10:
Pr3Si2Pb2 | Alexandria via LeMat-Bulk | GGA-PBE | relaxed; formation energy from raw total energies = -0.556 eV/atom; crystal system = monoclinic; symmetry = C2/m
1.0
4.379 0.000 0.000
-2.190 5.310 -2.463
0.000 -0.240 8.386
Pr Si Pb
3 2 2
direct
0.318 0.636 0.339
0.682 0.364 0.661
0.500 0.000 0.000
0.792 0.585 0.066
0.208 0.415 0.934
0.956 0.912 0.670
0.044 0.088 0.330


Entry 11:
PrSiPb | Alexandria via LeMat-Bulk | GGA-PBE | relaxed; formation energy from raw total energies = -0.513 eV/atom; crystal system = orthorhombic; symmetry = Cmcm
1.0
-0.211 -0.559 3.858
0.997 -4.196 -0.554
9.558 -0.050 0.514
Si Pb Pr
2 2 2
direct
0.750 0.462 0.076
0.250 0.538 0.924
0.750 0.294 0.412
0.250 0.706 0.588
0.750 0.090 0.820
0.250 0.910 0.180


Entry 12:
Pr5Si2Pb2 | Alexandria via LeMat-Bulk | GGA-PBE | relaxed; formation energy from raw total energies = -0.608 eV/atom; crystal system = orthorhombic; symmetry = Cmce
1.0
-0.945 4.089 7.012
6.861 -3.363 2.886
3.780 8.155 0.516
Pr Si Pb
10 4 4
direct
0.000 0.000 0.000
0.500 0.500 0.000
0.446 0.178 0.746
0.808 0.822 0.746
0.308 0.678 0.746
0.946 0.322 0.746
0.554 0.822 0.254
0.192 0.178 0.254
0.692 0.322 0.254
0.054 0.678 0.254
0.111 0.387 0.000
0.889 0.613 0.000
0.389 0.887 0.000
0.611 0.113 0.000
0.216 0.000 0.569
0.716 0.500 0.569
0.784 0.000 0.431
0.284 0.500 0.431


| no. | volume (A^3/atom) | uncorrected energy (eV for the cell shown) |
| --- | --- | --- |
| 1 | 31.200 | -89.1 |
| 2 | 32.832 | -63.9 |
| 3 | 30.670 | -44.4 |
| 4 | 32.155 | -63.5 |
| 5 | 30.487 | -67.2 |
| 6 | 30.883 | -62.7 |
| 7 | 30.376 | -35.8 |
| 8 | 31.203 | -53.6 |
| 9 | 29.654 | -23.1 |
| 10 | 27.486 | -36.5 |
| 11 | 26.377 | -30.9 |
| 12 | 29.749 | -95.3 |